Entry 1:
Entry from the Alexandria database: an optimized crystal structure of UPdRu2 (GGA-PBE).

abc: 4.134 4.134 3.820
angles: 90.00 90.00 90.00
Sites, in units of the cell vectors:
U1 0.000 0.000 0.000
Pd1 0.500 0.500 0.000
Ru1 0.000 0.500 0.500
Ru2 0.500 0.000 0.500

For the formation energy, the calculation gives -380.6 meV/atom. The calculation puts the total energy at -36.6 eV per formula unit. Its polymorph energy (0 for the lowest one) is 0.000 eV per atom.

Entry 2:
Entry from the Alexandria database: an optimized crystal structure of Ac4La7Sm (GGA-PBE).

abc: 6.670 7.681 9.519
angles: 90.11 103.53 90.08
Sites, in units of the cell vectors:
Ac1 0.222 0.241 0.172
Ac2 0.272 0.500 0.829
Ac3 0.728 0.500 0.171
Ac4 0.778 0.759 0.828
La1 0.002 0.756 0.496
La2 0.226 0.754 0.174
La3 0.281 0.001 0.828
La4 0.500 0.500 0.500
La5 0.719 0.999 0.172
La6 0.774 0.246 0.826
La7 0.998 0.244 0.504
Sm1 0.500 0.000 0.500

For the formation energy, the calculation gives 22.9 meV/atom. The calculation puts the total energy at -55.4 eV per formula unit.